Arrangement w

This record from the Open Quantum Materials Database describes Ta5Al7 after structural relaxation. The functional is PBE.

Computed properties:
Spin magnetization: 0.0 μB/f.u.

a b c (Å): 5.355 5.355 16.966
angles (deg): 90.00 90.00 120.00
Sites, in units of the cell vectors:
1 Ta 0.000 0.000 0.101
2 Ta 0.000 0.000 0.399
3 Ta 0.000 0.000 0.601
4 Ta 0.000 0.000 0.899
5 Ta 0.000 0.500 0.000
6 Ta 0.000 0.500 0.500
7 Ta 0.500 0.000 0.000
8 Ta 0.500 0.000 0.500
9 Ta 0.500 0.500 0.000
10 Ta 0.500 0.500 0.500
11 Al 0.158 0.316 0.250
12 Al 0.158 0.842 0.250
13 Al 0.316 0.158 0.750
14 Al 0.333 0.667 0.130
15 Al 0.333 0.667 0.370
16 Al 0.333 0.667 0.646
17 Al 0.333 0.667 0.854
18 Al 0.667 0.333 0.146
19 Al 0.667 0.333 0.354
20 Al 0.667 0.333 0.630
21 Al 0.667 0.333 0.870
22 Al 0.684 0.842 0.250
23 Al 0.842 0.158 0.750
24 Al 0.842 0.684 0.750

---

Arrangement x

This record from the Open Quantum Materials Database describes Ta5Al7 after structural relaxation. The functional is PBE.

Computed properties:
Spin magnetization: 0.0 μB/f.u.

a b c (Å): 5.299 5.299 17.040
angles (deg): 90.00 90.00 120.00
Sites, in units of the cell vectors:
1 Ta 0.000 0.000 0.087
2 Ta 0.000 0.000 0.413
3 Ta 0.000 0.000 0.587
4 Ta 0.000 0.000 0.913
5 Ta 0.162 0.324 0.250
6 Ta 0.162 0.838 0.250
7 Ta 0.324 0.162 0.750
8 Ta 0.676 0.838 0.250
9 Ta 0.838 0.162 0.750
10 Ta 0.838 0.676 0.750
11 Al 0.000 0.500 0.000
12 Al 0.000 0.500 0.500
13 Al 0.333 0.667 0.121
14 Al 0.333 0.667 0.379
15 Al 0.333 0.667 0.660
16 Al 0.333 0.667 0.840
17 Al 0.500 0.000 0.000
18 Al 0.500 0.000 0.500
19 Al 0.500 0.500 0.000
20 Al 0.500 0.500 0.500
21 Al 0.667 0.333 0.160
22 Al 0.667 0.333 0.340
23 Al 0.667 0.333 0.621
24 Al 0.667 0.333 0.879

---

Of them, arrangement x has the lowest stability.

---

Arrangement w

This record from the Open Quantum Materials Database describes Ta17Al12 after structural relaxation. The functional is PBE.

Computed properties:
Spin magnetization: 0.0 μB/f.u.

a b c (Å): 8.761 8.761 8.761
angles (deg): 109.47 109.47 109.47
Sites, in units of the cell vectors:
1 Ta 0.000 0.000 0.000
2 Ta 0.000 0.000 0.645
3 Ta 0.000 0.189 0.375
4 Ta 0.000 0.375 0.189
5 Ta 0.000 0.645 0.000
6 Ta 0.187 0.811 0.811
7 Ta 0.189 0.000 0.375
8 Ta 0.189 0.375 0.000
9 Ta 0.355 0.355 0.355
10 Ta 0.375 0.000 0.189
11 Ta 0.375 0.189 0.000
12 Ta 0.625 0.625 0.813
13 Ta 0.625 0.813 0.625
14 Ta 0.645 0.000 0.000
15 Ta 0.811 0.187 0.811
16 Ta 0.811 0.811 0.187
17 Ta 0.813 0.625 0.625
18 Al 0.000 0.411 0.687
19 Al 0.000 0.687 0.411
20 Al 0.276 0.589 0.589
21 Al 0.313 0.313 0.724
22 Al 0.313 0.724 0.313
23 Al 0.411 0.000 0.687
24 Al 0.411 0.687 0.000
25 Al 0.589 0.276 0.589
26 Al 0.589 0.589 0.276
27 Al 0.687 0.000 0.411
28 Al 0.687 0.411 0.000
29 Al 0.724 0.313 0.313

---

Arrangement x

This record from the Open Quantum Materials Database describes Ta17Al12 after structural relaxation. The functional is PBE.

Computed properties:
Spin magnetization: 0.0 μB/f.u.

a b c (Å): 8.635 8.635 8.635
angles (deg): 109.47 109.47 109.47
Sites, in units of the cell vectors:
1 Ta 0.000 0.000 0.000
2 Ta 0.000 0.000 0.648
3 Ta 0.000 0.408 0.678
4 Ta 0.000 0.648 0.000
5 Ta 0.000 0.678 0.408
6 Ta 0.270 0.592 0.592
7 Ta 0.322 0.322 0.730
8 Ta 0.322 0.730 0.322
9 Ta 0.352 0.352 0.352
10 Ta 0.408 0.000 0.678
11 Ta 0.408 0.678 0.000
12 Ta 0.592 0.270 0.592
13 Ta 0.592 0.592 0.270
14 Ta 0.648 0.000 0.000
15 Ta 0.678 0.000 0.408
16 Ta 0.678 0.408 0.000
17 Ta 0.730 0.322 0.322
18 Al 0.000 0.186 0.368
19 Al 0.000 0.368 0.186
20 Al 0.182 0.814 0.814
21 Al 0.186 0.000 0.368
22 Al 0.186 0.368 0.000
23 Al 0.368 0.000 0.186
24 Al 0.368 0.186 0.000
25 Al 0.632 0.632 0.818
26 Al 0.632 0.818 0.632
27 Al 0.814 0.182 0.814
28 Al 0.814 0.814 0.182
29 Al 0.818 0.632 0.632

---

Of them, arrangement w has the lowest stability.

---

Arrangement w

This record from the Open Quantum Materials Database describes Ta8Al7 after structural relaxation. The functional is PBE.

Computed properties:
Spin magnetization: 0.0 μB/f.u.

a b c (Å): 9.809 9.809 5.488
angles (deg): 90.00 90.00 90.00
Sites, in units of the cell vectors:
1 Ta 0.067 0.265 0.000
2 Ta 0.184 0.816 0.253
3 Ta 0.184 0.816 0.747
4 Ta 0.235 0.567 0.500
5 Ta 0.265 0.067 0.000
6 Ta 0.316 0.316 0.247
7 Ta 0.316 0.316 0.753
8 Ta 0.433 0.765 0.500
9 Ta 0.567 0.235 0.500
10 Ta 0.684 0.684 0.247
11 Ta 0.684 0.684 0.753
12 Ta 0.735 0.933 0.000
13 Ta 0.765 0.433 0.500
14 Ta 0.816 0.184 0.253
15 Ta 0.816 0.184 0.747
16 Ta 0.933 0.735 0.000
17 Al 0.000 0.000 0.000
18 Al 0.039 0.363 0.500
19 Al 0.100 0.100 0.500
20 Al 0.137 0.539 0.000
21 Al 0.363 0.039 0.500
22 Al 0.400 0.600 0.000
23 Al 0.461 0.863 0.000
24 Al 0.500 0.500 0.500
25 Al 0.539 0.137 0.000
26 Al 0.600 0.400 0.000
27 Al 0.637 0.961 0.500
28 Al 0.863 0.461 0.000
29 Al 0.900 0.900 0.500
30 Al 0.961 0.637 0.500

---

Arrangement x

This record from the Open Quantum Materials Database describes Ta8Al7 after structural relaxation. The functional is PBE.

Computed properties:
Spin magnetization: 0.0 μB/f.u.

a b c (Å): 9.836 9.836 5.307
angles (deg): 90.00 90.00 90.00
Sites, in units of the cell vectors:
1 Ta 0.038 0.369 0.000
2 Ta 0.131 0.538 0.500
3 Ta 0.180 0.820 0.251
4 Ta 0.180 0.820 0.749
5 Ta 0.320 0.320 0.249
6 Ta 0.320 0.320 0.751
7 Ta 0.369 0.038 0.000
8 Ta 0.462 0.869 0.500
9 Ta 0.538 0.131 0.500
10 Ta 0.631 0.962 0.000
11 Ta 0.680 0.680 0.249
12 Ta 0.680 0.680 0.751
13 Ta 0.820 0.180 0.251
14 Ta 0.820 0.180 0.749
15 Ta 0.869 0.462 0.500
16 Ta 0.962 0.631 0.000
17 Al 0.000 0.000 0.500
18 Al 0.067 0.267 0.500
19 Al 0.098 0.098 0.000
20 Al 0.233 0.567 0.000
21 Al 0.267 0.067 0.500
22 Al 0.402 0.598 0.500
23 Al 0.433 0.767 0.000
24 Al 0.500 0.500 0.000
25 Al 0.567 0.233 0.000
26 Al 0.598 0.402 0.500
27 Al 0.733 0.933 0.500
28 Al 0.767 0.433 0.000
29 Al 0.902 0.902 0.000
30 Al 0.933 0.733 0.500

---

Of them, arrangement w has the lowest stability.